1.
A plane-wave DFT calculation with PBE was carried out for a geometry-optimized ErMgIr2 structure.

Lattice parameters (Å, degrees): 3.2976 3.2976 6.3931 90.00 90.00 90.00
Atoms (fractional coordinates):
Er: 0.0000 0.0000 0.0000
Mg: 0.0000 0.0000 0.5000
Ir: 0.5000 0.5000 0.2680
Ir: 0.5000 0.5000 0.7320

Summary:
D(E_F): 0.5 states/eV per cell
Spin magnetization: 0.0 μB per cell
ΔH_f (0 K): -0.61 eV/atom
Crystal system: tetragonal


2.
A plane-wave DFT calculation with PBE was carried out for a geometry-optimized Tl4HgBi2 structure.

Lattice parameters (Å, degrees): 8.3356 8.3356 5.1243 90.00 90.00 135.00
Atoms (fractional coordinates):
Tl: 0.1431 0.8569 0.0000
Tl: 0.2847 0.7153 0.5000
Tl: 0.7153 0.2847 0.5000
Tl: 0.8569 0.1431 0.0000
Hg: 0.0000 0.0000 0.5000
Bi: 0.4013 0.5987 0.0000
Bi: 0.5987 0.4013 0.0000

Summary:
D(E_F): 2.5 states/eV per cell
Spin magnetization: 0.0 μB per cell
ΔH_f (0 K): 0.08 eV/atom
Energy above the most stable polymorph in this dataset: 0.037 eV/atom
Crystal system: orthorhombic


3.
A plane-wave DFT calculation with PBE was carried out for a geometry-optimized Th5Ga2Pb2 structure.

Lattice parameters (Å, degrees): 8.9230 8.9230 8.2457 90.00 90.00 54.68
Atoms (fractional coordinates):
Th: 0.0000 0.0000 0.0000
Th: 0.0546 0.6913 0.6807
Th: 0.1913 0.5546 0.1807
Th: 0.3087 0.9454 0.6807
Th: 0.4454 0.8087 0.1807
Th: 0.5000 0.5000 0.5000
Th: 0.5546 0.1913 0.8193
Th: 0.6913 0.0546 0.3193
Th: 0.8087 0.4454 0.8193
Th: 0.9454 0.3087 0.3193
Ga: 0.1154 0.8846 0.3839
Ga: 0.3846 0.6154 0.8839
Ga: 0.6154 0.3846 0.1161
Ga: 0.8846 0.1154 0.6161
Pb: 0.2149 0.2149 0.0000
Pb: 0.2851 0.2851 0.5000
Pb: 0.7149 0.7149 0.5000
Pb: 0.7851 0.7851 0.0000

Summary:
D(E_F): 23.2 states/eV per cell
Spin magnetization: 0.0 μB per cell
ΔH_f (0 K): -0.35 eV/atom
Crystal system: orthorhombic


> Which value of ΔH_f (0 K) does entry 2 give?

0.08 eV/atom


> Among the records above, which one has the highest ΔH_f (0 K)?

Tl4HgBi2


> Which value of ΔH_f (0 K) does entry 1 give?

-0.61 eV/atom